DFT (PBE with a Hubbard U) results for crystalline Tl3NiF4 at its relaxed geometry.

Summary:
- magnetic moment (Bohr magnetons per cell) = 1.0
- total energy (eV/f.u.) = -29.63

abc: 5.8695 5.8695 5.8695
angles: 106.88 110.78 110.78
Each line ends with the local moment (μB).
Sites, in units of the cell vectors:
1 Tl 0.5000 0.2500 0.7500  -0.01
2 Tl 0.5000 0.7500 0.2500  -0.01
3 Tl 0.0000 0.5000 0.5000  -0.04
4 F 0.4286 0.2146 0.2146  0.01
5 F 0.5714 0.7859 0.7859  0.01
6 F 0.0000 0.7854 0.2141  0.01
7 F 0.0000 0.2141 0.7854  0.01
8 Ni 0.0000 0.0000 0.0000  1.27